Entry 1:
This record from the Alexandria database describes a relaxed Ti4InHg crystal. The functional is PBE-GGA.

Energy relative to the elements = -0.095 eV per atom
Relative energy among the computed polymorphs = 0 meV/atom

Unit cell a=5.6954 b=5.6954 c=4.6172 alpha=90.00 beta=90.00 gamma=132.24
Element x y z (fractional)
1 Ti 0.1731 0.8269 0.0000
2 Ti 0.3258 0.6742 0.5000
3 Ti 0.6742 0.3258 0.5000
4 Ti 0.8269 0.1731 0.0000
5 In 0.0000 0.0000 0.5000
6 Hg 0.5000 0.5000 0.0000

***

Entry 2:
This record from the Alexandria database describes a relaxed Ta2VCr3 crystal. The functional is PBE-GGA.

Energy relative to the elements = -0.164 eV per atom

Unit cell a=4.9211 b=4.9211 c=4.9571 alpha=119.75 beta=119.75 gamma=60.08
Element x y z (fractional)
1 Ta 0.1241 0.1241 0.3723
2 Ta 0.8759 0.8759 0.6277
3 V 0.5000 0.5000 0.5000
4 Cr 0.0000 0.5000 0.0000
5 Cr 0.5000 0.0000 0.0000
6 Cr 0.5000 0.5000 0.0000

***

Entry 3:
This record from the Alexandria database describes a relaxed Ag6PdAu crystal. The functional is PBE-GGA.

Energy relative to the elements = -0.032 eV per atom
Relative energy among the computed polymorphs = 0 meV/atom

Unit cell a=4.1203 b=4.1203 c=8.2425 alpha=90.00 beta=90.00 gamma=90.00
Element x y z (fractional)
1 Ag 0.0000 0.0000 0.0000
2 Ag 0.0000 0.0000 0.5000
3 Ag 0.0000 0.5000 0.2458
4 Ag 0.0000 0.5000 0.7542
5 Ag 0.5000 0.0000 0.2458
6 Ag 0.5000 0.0000 0.7542
7 Pd 0.5000 0.5000 0.0000
8 Au 0.5000 0.5000 0.5000

***

Entry 4:
This record from the Alexandria database describes a relaxed AcLaNdSm3 crystal. The functional is PBE-GGA.

Energy relative to the elements = 0.199 eV per atom

Unit cell a=10.7676 b=10.7676 c=7.2530 alpha=90.51 beta=90.51 gamma=31.59
Element x y z (fractional)
1 Ac 0.1478 0.1478 0.0416
2 Ac 0.8522 0.8522 0.9584
3 La 0.1430 0.1430 0.4901
4 La 0.8570 0.8570 0.5099
5 Nd 0.4473 0.4473 0.7297
6 Nd 0.5527 0.5527 0.2703
7 Sm 0.0199 0.0199 0.7481
8 Sm 0.2810 0.2810 0.7292
9 Sm 0.3383 0.3383 0.2459
10 Sm 0.6617 0.6617 0.7541
11 Sm 0.7190 0.7190 0.2708
12 Sm 0.9801 0.9801 0.2519

***

Number 1: DFT total energy -35.2 eV for the cell shown, volume 111 Å³/cell, M_tot 0.03 μB per cell. Number 2: DFT total energy -62.7 eV for the cell shown, volume 85 Å³/cell, M_tot 0.00 μB per cell. Number 3: DFT total energy -25.8 eV for the cell shown, volume 140 Å³/cell, M_tot 0.00 μB per cell. Number 4: DFT total energy -53.5 eV for the cell shown, volume 441 Å³/cell, M_tot 0.00 μB per cell.